A relaxed structure of NbHgAu. Source: OQMD, functional PBE.

Values from the calculation:
E above lowest polymorph (eV/f.u.): 0.00

Cell: 6.348 6.348 6.348 Å, 90.00 90.00 90.00°
Space group F-43m (No. 216)
Asymmetric unit:
1 Nb 0.000 0.000 0.000 [4 per cell]
2 Hg 0.000 0.000 0.500 [4 per cell]
3 Au 0.250 0.250 0.750 [4 per cell]

=====

A relaxed structure of Y4Nb2Cd3C3. Source: OQMD, functional PBE.

Values from the calculation:
Total DFT energy (no corrections) (Ha/atom): -0.247

Cell: 10.387 6.010 15.820 Å, 90.00 104.09 90.00°
Space group C2/c (No. 15)
Asymmetric unit:
1 Y 0.118 0.069 0.093 [8 per cell]
2 Y 0.209 0.091 0.407 [8 per cell]
3 Nb 0.066 0.409 0.933 [8 per cell]
4 Cd 0.000 0.140 0.750 [4 per cell]
5 Cd 0.137 0.444 0.245 [8 per cell]
6 C 0.073 0.279 0.500 [8 per cell]
7 C 0.250 0.250 0.000 [4 per cell]

=====

A relaxed structure of LiSbTeW. Source: OQMD, functional PBE.

Values from the calculation:
E above lowest polymorph (eV/f.u.): 0.00

Cell: 6.771 6.771 6.771 Å, 90.00 90.00 90.00°
Space group F-43m (No. 216)
Asymmetric unit:
1 Li 0.000 0.000 0.000 [4 per cell]
2 Sb 0.250 0.250 0.750 [4 per cell]
3 Te 0.250 0.250 0.250 [4 per cell]
4 W 0.000 0.000 0.500 [4 per cell]